Compound: AcSmTm
Source: Alexandria
Functional: PBE
Structure: optimized geometry

Geometry as POSCAR:
```
AcSmTm
1.0
7.779 0.000 0.000
0.000 7.779 0.000
0.000 0.000 7.779
Sm Ac Tm
4 4 4
Direct
0.833 0.333 0.167
0.333 0.167 0.833
0.667 0.667 0.667
0.167 0.833 0.333
0.643 0.857 0.143
0.857 0.143 0.643
0.143 0.643 0.857
0.357 0.357 0.357
0.029 0.029 0.029
0.529 0.471 0.971
0.471 0.971 0.529
0.971 0.529 0.471
```

## Properties
- formation energy from the elements (eV per atom) = 0.6275
- volume (A^3/atom) = 39.226
- E above lowest polymorph (eV/atom) = 0.566